1.
# PbAu2Cl GGA-PBE optimized geometry
# **Fermi-level density of states**: 0.25 states/eV/atom
# **Offset from the most stable computed form**: 216 meV per atom
# **Volume**: 25.2 Å³/atom
# **ΔE_f (raw)**: -0.0618 eV/atom
# **DFT total energy**: -3.09 eV/atom
# **Calculated density**: 10.50 g/cm³
data_PbAu2Cl
_space_group_name_H-M_alt 'I m m 2'
_space_group_IT_number 44
_space_group_name_Hall 'I 2 -2'
_cell_length_a 4.4180
_cell_length_b 5.7613
_cell_length_c 7.9075
_cell_angle_alpha 90.00
_cell_angle_beta 90.00
_cell_angle_gamma 90.00
loop_
_atom_site_label
_atom_site_fract_x
_atom_site_fract_y
_atom_site_fract_z
_atom_site_occupancy
Pb1 0.0000 0.0000 0.0000 1
Au1 0.0000 0.0000 0.5738 1
Au2 0.0000 0.5000 0.2766 1
Cl1 0.0000 0.5000 0.8547 1


2.
# PbAuCl2 GGA-PBE optimized geometry
# **Fermi-level density of states**: 0.42 states/eV/atom
# **Offset from the most stable computed form**: 110 meV per atom
# **Volume**: 27.4 Å³/atom
# **ΔE_f (raw)**: -0.3576 eV/atom
# **DFT total energy**: -3.03 eV/atom
# **Calculated density**: 7.21 g/cm³
data_PbAuCl2
_space_group_name_H-M_alt 'C 1 2/m 1'
_space_group_IT_number 12
_space_group_name_Hall '-C 2y'
_cell_length_a 10.2602
_cell_length_b 4.2998
_cell_length_c 4.9784
_cell_angle_alpha 90.00
_cell_angle_beta 94.82
_cell_angle_gamma 90.00
loop_
_atom_site_label
_atom_site_fract_x
_atom_site_fract_y
_atom_site_fract_z
_atom_site_occupancy
Pb1 0.0000 0.0000 0.0000 1
Au1 0.0000 0.5000 0.5000 1
Cl1 0.1859 0.5000 0.2393 1


3.
# PbAu2Cl6 GGA-PBE optimized geometry
# **Fermi-level density of states**: 0.46 states/eV/atom
# **Offset from the most stable computed form**: 0 meV per atom
# **Volume**: 30.9 Å³/atom
# **ΔE_f (raw)**: -0.4885 eV/atom
# **DFT total energy**: -2.86 eV/atom
# **Calculated density**: 4.85 g/cm³
data_PbAu2Cl6
_space_group_name_H-M_alt 'C 1 2/c 1'
_space_group_IT_number 15
_space_group_name_Hall '-C 2yc'
_cell_length_a 12.2142
_cell_length_b 13.7273
_cell_length_c 7.4544
_cell_angle_alpha 90.00
_cell_angle_beta 116.98
_cell_angle_gamma 90.00
loop_
_atom_site_label
_atom_site_fract_x
_atom_site_fract_y
_atom_site_fract_z
_atom_site_occupancy
Pb1 0.0000 0.1116 0.2500 1
Au1 0.1365 0.4125 0.1356 1
Cl1 0.0908 0.4128 0.5705 1
Cl2 0.1422 0.0614 0.6802 1
Cl3 0.1505 0.2386 0.1672 1


4.
# Pb2AuCl GGA-PBE optimized geometry
# **Fermi-level density of states**: 0.27 states/eV/atom
# **Offset from the most stable computed form**: 153 meV per atom
# **Volume**: 26.8 Å³/atom
# **ΔE_f (raw)**: -0.2197 eV/atom
# **DFT total energy**: -3.35 eV/atom
# **Calculated density**: 10.03 g/cm³
data_Pb2AuCl
_space_group_name_H-M_alt 'I m m m'
_space_group_IT_number 71
_space_group_name_Hall '-I 2 2'
_cell_length_a 4.1680
_cell_length_b 5.7892
_cell_length_c 8.8726
_cell_angle_alpha 90.00
_cell_angle_beta 90.00
_cell_angle_gamma 90.00
loop_
_atom_site_label
_atom_site_fract_x
_atom_site_fract_y
_atom_site_fract_z
_atom_site_occupancy
Pb1 0.0000 0.0000 0.2417 1
Au1 0.0000 0.5000 0.5000 1
Cl1 0.0000 0.5000 0.0000 1


5.
# PbAu2Cl8 GGA-PBE optimized geometry
# **Volume**: 28.5 Å³/atom
# **ΔE_f (raw)**: -0.5059 eV/atom
# **DFT total energy**: -2.78 eV/atom
# **Calculated density**: 4.68 g/cm³
data_PbAu2Cl8
_space_group_name_H-M_alt 'I 4 2 2'
_space_group_IT_number 97
_space_group_name_Hall 'I 4 2'
_cell_length_a 7.0597
_cell_length_b 7.0597
_cell_length_c 12.5960
_cell_angle_alpha 90.00
_cell_angle_beta 90.00
_cell_angle_gamma 90.00
loop_
_atom_site_label
_atom_site_fract_x
_atom_site_fract_y
_atom_site_fract_z
_atom_site_occupancy
Pb1 0.0000 0.0000 0.0000 1
Au1 0.0000 0.5000 0.2500 1
Cl1 0.1649 0.3305 0.6210 1


6.
# Pb2AuCl GGA-PBE optimized geometry
# **Fermi-level density of states**: 0.31 states/eV/atom
# **Offset from the most stable computed form**: 178 meV per atom
# **Volume**: 27.3 Å³/atom
# **ΔE_f (raw)**: -0.1952 eV/atom
# **DFT total energy**: -3.33 eV/atom
# **Calculated density**: 9.85 g/cm³
data_Pb2AuCl
_space_group_name_H-M_alt 'I -4 m 2'
_space_group_IT_number 119
_space_group_name_Hall 'I -4 -2'
_cell_length_a 4.2635
_cell_length_b 4.2635
_cell_length_c 11.9991
_cell_angle_alpha 90.00
_cell_angle_beta 90.00
_cell_angle_gamma 90.00
loop_
_atom_site_label
_atom_site_fract_x
_atom_site_fract_y
_atom_site_fract_z
_atom_site_occupancy
Pb1 0.0000 0.0000 0.0000 1
Pb2 0.0000 0.5000 0.2500 1
Au1 0.0000 0.5000 0.7500 1
Cl1 0.0000 0.0000 0.5000 1


volume of number 6 (Pb2AuCl)? 27.3 Å³/atom


The highest volume belongs to which entry? PbAu2Cl6


Repeat the third record exactly.
# PbAu2Cl6 GGA-PBE optimized geometry
# **Fermi-level density of states**: 0.46 states/eV/atom
# **Offset from the most stable computed form**: 0 meV per atom
# **Volume**: 30.9 Å³/atom
# **ΔE_f (raw)**: -0.4885 eV/atom
# **DFT total energy**: -2.86 eV/atom
# **Calculated density**: 4.85 g/cm³
data_PbAu2Cl6
_space_group_name_H-M_alt 'C 1 2/c 1'
_space_group_IT_number 15
_space_group_name_Hall '-C 2yc'
_cell_length_a 12.2142
_cell_length_b 13.7273
_cell_length_c 7.4544
_cell_angle_alpha 90.00
_cell_angle_beta 116.98
_cell_angle_gamma 90.00
loop_
_atom_site_label
_atom_site_fract_x
_atom_site_fract_y
_atom_site_fract_z
_atom_site_occupancy
Pb1 0.0000 0.1116 0.2500 1
Au1 0.1365 0.4125 0.1356 1
Cl1 0.0908 0.4128 0.5705 1
Cl2 0.1422 0.0614 0.6802 1
Cl3 0.1505 0.2386 0.1672 1


Which value of volume does entry 6 give? 27.3 Å³/atom